(1)
The following is a DFT calculation (GGA-PBEsol) of a relaxed Li3Al crystal.

Calculated values
E, eV/atom: -2.583
Calculated formation energy, eV/atom: -0.085
M_tot, μB/atom: 0.000

a = 4.913 Å, b = 9.482 Å, c = 5.716 Å
α = 90.00°, β = 90.00°, γ = 90.00°
Space group Pnma (No. 62)
Asymmetric unit:
Li 0.075 0.250 0.126 x4
Li 0.237 0.509 0.376 x8
Al 0.088 0.250 0.627 x4

***

(2)
The following is a DFT calculation (GGA-PBEsol) of a relaxed BeInSb2 crystal.

Calculated values
Distance to the lowest polymorph of the same formula, meV/atom: 239.5
E, eV/atom: -3.514
M_tot, μB/atom: 0.000
ΔE_f (raw), eV per atom: 0.510

a = 5.064 Å, b = 5.064 Å, c = 3.496 Å
α = 90.00°, β = 90.00°, γ = 90.00°
Space group P4/mmm (No. 123)
Asymmetric unit:
Be 0.000 0.000 0.000 x1
In 0.500 0.500 0.000 x1
Sb 0.000 0.500 0.500 x2

***

(3)
The following is a DFT calculation (GGA-PBEsol) of a relaxed ZrTe2Ir crystal.

Calculated values
Distance to the lowest polymorph of the same formula, meV/atom: 300.7
E, eV/atom: -6.665
M_tot, μB/atom: 0.000
ΔE_f (raw), eV per atom: -0.174

a = 3.647 Å, b = 3.650 Å, c = 6.525 Å
α = 90.00°, β = 101.87°, γ = 90.00°
Space group P2/m (No. 10)
Asymmetric unit:
Zr 0.000 0.000 0.000 x1
Te 0.374 0.500 0.747 x2
Ir 0.000 0.000 0.500 x1

***

(4)
The following is a DFT calculation (GGA-PBEsol) of a relaxed Rb2AsC crystal.

Calculated values
E, eV/atom: -3.557
Calculated formation energy, eV/atom: 0.643
M_tot, μB/atom: 0.000

a = 12.196 Å, b = 12.196 Å, c = 3.998 Å
α = 90.00°, β = 90.00°, γ = 90.00°
Space group I-42d (No. 122)
Asymmetric unit:
Rb 0.025 0.250 0.125 x8
As 0.000 0.000 0.500 x4
C 0.000 0.000 0.000 x4

***

(5)
The following is a DFT calculation (GGA-PBEsol) of a relaxed ScTlCd crystal.

Calculated values
E, eV/atom: -3.550
Calculated formation energy, eV/atom: -0.073
M_tot, μB/atom: 0.000

a = 3.3521 Å, b = 3.3521 Å, c = 7.1594 Å
α = 90.00°, β = 90.00°, γ = 120.00°
Space group P3m1 (No. 156)
Asymmetric unit:
Sc 0.0000 0.0000 0.0000 x1
Tl 0.3333 0.6667 0.6656 x1
Cd 0.6667 0.3333 0.3258 x1

***

(6)
The following is a DFT calculation (GGA-PBEsol) of a relaxed TcRu2Pt crystal.

Calculated values
Distance to the lowest polymorph of the same formula, meV/atom: 7.0
E, eV/atom: -9.658
Calculated formation energy, eV/atom: -0.014
M_tot, μB/atom: 0.000

a = 3.838 Å, b = 3.838 Å, c = 7.497 Å
α = 90.00°, β = 90.00°, γ = 90.00°
Space group I4/mmm (No. 139)
Asymmetric unit:
Tc 0.000 0.000 0.000 x2
Ru 0.000 0.500 0.250 x4
Pt 0.000 0.000 0.500 x2

***

(7)
The following is a DFT calculation (GGA-PBEsol) of a relaxed YTc2Br crystal.

Calculated values
Distance to the lowest polymorph of the same formula, meV/atom: 334.9
E, eV/atom: -7.120
M_tot, μB/atom: 0.001
ΔE_f (raw), eV per atom: 0.686

a = 3.220 Å, b = 3.220 Å, c = 6.740 Å
α = 90.00°, β = 90.00°, γ = 90.00°
Space group P4/mmm (No. 123)
Asymmetric unit:
Y 0.000 0.000 0.000 x1
Tc 0.500 0.500 0.278 x2
Br 0.000 0.000 0.500 x1

***

(8)
The following is a DFT calculation (GGA-PBEsol) of a relaxed CaTeAs2 crystal.

Calculated values
E, eV/atom: -4.365
M_tot, μB/atom: 0.000
ΔE_f (raw), eV per atom: -0.397

a = 3.971 Å, b = 4.702 Å, c = 9.765 Å
α = 90.00°, β = 90.00°, γ = 90.00°
Space group Immm (No. 71)
Asymmetric unit:
Ca 0.000 0.000 0.000 x2
Te 0.000 0.000 0.500 x2
As 0.000 0.500 0.228 x4

***

(9)
The following is a DFT calculation (GGA-PBEsol) of a relaxed PuB2C crystal.

Calculated values
E, eV/atom: -9.999
Calculated formation energy, eV/atom: -0.291
M_tot, μB/atom: 1.136

a = 6.5212 Å, b = 6.5212 Å, c = 10.5534 Å
α = 90.00°, β = 90.00°, γ = 120.00°
Space group R-3m (No. 166, hexagonal axes)
Asymmetric unit:
Pu 0.0000 0.0000 0.0000 x3
Pu 0.0000 0.0000 0.3118 x6
B 0.0000 0.2719 0.5000 x18
C 0.0000 0.5000 0.5000 x9

***

(10)
The following is a DFT calculation (GGA-PBEsol) of a relaxed NaHf2InBi crystal.

Calculated values
E, eV/atom: -4.999
Calculated formation energy, eV/atom: 0.936
M_tot, μB/atom: 0.000

a = 5.381 Å, b = 5.381 Å, c = 5.202 Å
α = 90.00°, β = 90.00°, γ = 90.00°
Space group P4/mmm (No. 123)
Asymmetric unit:
Na 0.000 0.000 0.000 x1
Hf 0.000 0.500 0.500 x2
In 0.500 0.500 0.000 x1
Bi 0.000 0.000 0.500 x1

***

(11)
The following is a DFT calculation (GGA-PBEsol) of a relaxed Zr2Ga2Au crystal.

Calculated values
E, eV/atom: -6.439
Calculated formation energy, eV/atom: -0.683
M_tot, μB/atom: 0.000

a = 6.575 Å, b = 6.575 Å, c = 4.144 Å
α = 90.00°, β = 90.00°, γ = 90.00°
Space group P4/mbm (No. 127)
Asymmetric unit:
Zr 0.167 0.333 0.000 x4
Ga 0.133 0.633 0.500 x4
Au 0.000 0.000 0.500 x2

***

(12)
The following is a DFT calculation (GGA-PBEsol) of a relaxed La4CuO8 crystal.

Calculated values
E, eV/atom: -7.931
M_tot, μB/atom: 0.078
ΔE_f (raw), eV per atom: -2.722

a = 5.211 Å, b = 12.895 Å, c = 5.209 Å
α = 90.00°, β = 90.00°, γ = 90.00°
Space group Cmmm (No. 65)
Asymmetric unit:
La 0.000 0.134 0.000 x4
La 0.000 0.364 0.500 x4
Cu 0.000 0.500 0.000 x2
O 0.000 0.185 0.500 x4
O 0.000 0.322 0.000 x4
O 0.248 0.500 0.244 x8